Record 1
An optimized crystal structure of Re2TcB. Source: the Open Quantum Materials Database, functional GGA-PBE.

## Properties
Crystal system: orthorhombic
E: -0.39315 Ha/atom

Lattice parameters (Å, degrees): 2.903 9.362 7.310 90.00 90.00 90.00
Fractional positions:
Re1 0.000 0.133 0.064
Re2 0.000 0.133 0.436
Re3 0.000 0.867 0.564
Re4 0.000 0.867 0.936
Re5 0.500 0.367 0.564
Re6 0.500 0.367 0.936
Re7 0.500 0.633 0.064
Re8 0.500 0.633 0.436
Tc1 0.000 0.423 0.250
Tc2 0.000 0.577 0.750
Tc3 0.500 0.077 0.750
Tc4 0.500 0.923 0.250
B1 0.000 0.256 0.750
B2 0.000 0.744 0.250
B3 0.500 0.244 0.250
B4 0.500 0.756 0.750

Record 2
An optimized crystal structure of ThReB4. Source: the Open Quantum Materials Database, functional GGA-PBE.

## Properties
Crystal system: orthorhombic
Offset from the most stable computed form: 580 meV/atom

Lattice parameters (Å, degrees): 3.168 5.396 7.821 90.00 90.00 90.00
Fractional positions:
Th1 0.000 0.000 0.000
Th2 0.500 0.500 0.500
Re1 0.000 0.000 0.500
Re2 0.500 0.500 0.000
B1 0.000 0.333 0.247
B2 0.000 0.333 0.753
B3 0.000 0.667 0.247
B4 0.000 0.667 0.753
B5 0.500 0.167 0.253
B6 0.500 0.167 0.747
B7 0.500 0.833 0.253
B8 0.500 0.833 0.747

Record 3
An optimized crystal structure of ThReB4. Source: the Open Quantum Materials Database, functional GGA-PBE.

## Properties
Crystal system: orthorhombic
Offset from the most stable computed form: 0 meV/atom

Lattice parameters (Å, degrees): 6.072 6.072 3.732 90.00 90.00 103.98
Fractional positions:
Th1 0.198 0.802 0.000
Th2 0.802 0.198 0.000
Re1 0.319 0.319 0.000
Re2 0.681 0.681 0.000
B1 0.125 0.436 0.500
B2 0.129 0.129 0.500
B3 0.411 0.589 0.500
B4 0.436 0.125 0.500
B5 0.564 0.875 0.500
B6 0.589 0.411 0.500
B7 0.871 0.871 0.500
B8 0.875 0.564 0.500

Record 4
An optimized crystal structure of ThReB4. Source: the Open Quantum Materials Database, functional GGA-PBE.

## Properties
Crystal system: hexagonal
Offset from the most stable computed form: 378 meV/atom

Lattice parameters (Å, degrees): 3.170 3.170 7.334 90.00 90.00 120.00
Fractional positions:
Th1 0.000 0.000 0.000
Re1 0.000 0.000 0.500
B1 0.333 0.667 0.286
B2 0.333 0.667 0.714
B3 0.667 0.333 0.286
B4 0.667 0.333 0.714

Record 5
An optimized crystal structure of ThReB. Source: the Open Quantum Materials Database, functional GGA-PBE.

## Properties
Crystal system: cubic
Offset from the most stable computed form: 1256 meV/atom

Lattice parameters (Å, degrees): 6.341 6.341 6.341 90.00 90.00 90.00
Fractional positions:
Th1 0.000 0.000 0.000
Th2 0.000 0.500 0.500
Th3 0.500 0.000 0.500
Th4 0.500 0.500 0.000
Re1 0.250 0.250 0.250
Re2 0.250 0.750 0.750
Re3 0.750 0.250 0.750
Re4 0.750 0.750 0.250
B1 0.250 0.250 0.750
B2 0.250 0.750 0.250
B3 0.750 0.250 0.250
B4 0.750 0.750 0.750

Record 6
An optimized crystal structure of ThReB. Source: the Open Quantum Materials Database, functional GGA-PBE.

## Properties
Crystal system: cubic
Offset from the most stable computed form: 0 meV/atom

Lattice parameters (Å, degrees): 6.058 6.058 6.058 90.00 90.00 90.00
Fractional positions:
Th1 0.000 0.000 0.000
Th2 0.000 0.500 0.500
Th3 0.500 0.000 0.500
Th4 0.500 0.500 0.000
Re1 0.000 0.000 0.500
Re2 0.000 0.500 0.000
Re3 0.500 0.000 0.000
Re4 0.500 0.500 0.500
B1 0.250 0.250 0.750
B2 0.250 0.750 0.250
B3 0.750 0.250 0.250
B4 0.750 0.750 0.750